(1)
Density functional theory data (PBE-GGA) for a relaxed structure of AuI2O2.

The offset from the most stable computed form comes out at 771 meV/atom. The crystal system is tetragonal. The calculation puts the uncorrected formation energy at 4.36 eV per formula unit.

The structure belongs to space group P4/mmm (No. 123); the cell edges are 4.950, 4.950 and 3.944 Å and the angles 90.00°, 90.00° and 90.00°. Symmetry generates all atoms from Au at (0.000, 0.000, 0.000), I at (0.000, 0.500, 0.500), O at (0.500, 0.500, 0.000) and O at (0.500, 0.500, 0.500).



(2)
Density functional theory data (PBE-GGA) for a relaxed structure of AuIO.

The crystal system is orthorhombic. The calculation puts the uncorrected formation energy at 0.66 eV per formula unit.

The structure belongs to space group Cmc2_1 (No. 36); the cell edges are 3.574, 16.769 and 5.523 Å and the angles 90.00°, 90.00° and 90.00°. Symmetry generates all atoms from Au at (0.000, 0.130, 0.000), I at (0.000, 0.379, 0.867) and O at (0.000, 0.358, 0.291).



(3)
Density functional theory data (PBE-GGA) for a relaxed structure of AuI3O.

The offset from the most stable computed form comes out at 274 meV/atom. The crystal system is cubic. The calculation puts the uncorrected formation energy at 4.60 eV per formula unit.

The structure belongs to space group Pm-3m (No. 221); the cell edges are 5.595, 5.595 and 5.595 Å and the angles 90.00°, 90.00° and 90.00°. Symmetry generates all atoms from Au at (0.000, 0.000, 0.000), I at (0.000, 0.000, 0.500) and O at (0.500, 0.500, 0.500).



(4)
Density functional theory data (PBE-GGA) for a relaxed structure of PAuI2O.

The offset from the most stable computed form comes out at 0 meV/atom. The crystal system is tetragonal. The calculation puts the uncorrected formation energy at 0.28 eV per formula unit.

The structure belongs to space group P4/mmm (No. 123); the cell edges are 5.712, 5.712 and 3.515 Å and the angles 90.00°, 90.00° and 90.00°. Symmetry generates all atoms from P at (0.000, 0.000, 0.000), Au at (0.500, 0.500, 0.500), I at (0.000, 0.500, 0.000) and O at (0.000, 0.000, 0.500).